Material: Cd2Sn2As
Method: DFT, PBE-GGA
State: optimized geometry

Cell: 7.383 7.383 4.732 Å, 90.00 90.00 90.00°
Fractional coordinates of all 10 atoms:
As 0.000 0.000 0.000
As 0.500 0.500 0.000
Sn 0.167 0.667 0.500
Sn 0.667 0.833 0.500
Sn 0.833 0.333 0.500
Sn 0.333 0.167 0.500
Cd 0.361 0.861 0.000
Cd 0.861 0.639 0.000
Cd 0.639 0.139 0.000
Cd 0.139 0.361 0.000

## Properties
energy of formation: 0.17 eV per atom
energy: -2.73 eV per atom
energy above the most stable polymorph in this dataset: 0.000 kcal/mol of atoms
space-group type: P4/mbm